No. 1
Hg2PF5 | Alexandria via LeMat-Bulk | PBE-GGA | relaxed; magnetization = 0.00 Bohr magnetons per cell; energy above the lowest structure with this stoichiometry = 32 meV/atom; N(E_F) = 0.00 states/eV/f.u.; symmetry = I4mm; formation energy without anion corrections = -1.86 eV per atom; volume = 25.4 Å³/atom
1.0
5.3372 0.0000 0.0001
0.0001 5.3372 0.0001
-2.6683 -2.6683 7.1318
Hg P F
2 1 5
Direct
0.2171 0.7171 0.4342 Hg
0.7171 0.2171 0.4342 Hg
0.9763 0.9763 0.9526 P
0.7935 0.2059 0.9993 F
0.2059 0.2059 0.9993 F
0.7935 0.7935 0.9994 F
0.2059 0.7934 0.9993 F
0.8679 0.8679 0.7357 F


No. 2
HgPF6 | Alexandria via LeMat-Bulk | PBE-GGA | relaxed; magnetization = 1.70 Bohr magnetons per cell; energy above the lowest structure with this stoichiometry = 0 meV/atom; N(E_F) = 2.38 states/eV/f.u.; symmetry = C2/c; formation energy without anion corrections = -2.15 eV per atom; volume = 15.0 Å³/atom
1.0
-3.8945 2.0528 2.7720
4.4401 -1.8416 2.7200
5.2200 8.1736 1.2808
Hg P F
2 2 12
Direct
0.6805 0.0000 0.2500 Hg
0.3195 0.0000 0.7500 Hg
0.0000 0.5000 0.5000 P
0.5000 0.5000 0.0000 P
0.1101 0.4234 0.3655 F
0.3132 0.4234 0.8655 F
0.9666 0.2089 0.6049 F
0.2423 0.2089 0.1049 F
0.8899 0.5766 0.6345 F
0.6868 0.5766 0.1345 F
0.6586 0.3253 0.4693 F
0.6668 0.3253 0.9693 F
0.0334 0.7911 0.3951 F
0.7577 0.7911 0.8951 F
0.3414 0.6747 0.5307 F
0.3332 0.6747 0.0307 F